1.
Dy8Y6Er: relaxed, PBE.

Summary:
- M_tot (μB per cell) = 0.00
- DOS(E_F) (states/eV per cell) = 24.42
- DFT total energy (eV per atom) = -5.223
- ΔH_f (0 K) (eV per formula unit) = 1.8
- space group = R-3

abc: 9.0411 9.0411 8.6148
angles: 58.35 58.35 60.00
Closest atoms and distances in Å follow each position.
Fractional coordinates of all 15 atoms:
Dy 0.5763 0.5763 0.2710  4 Dy 3.14-3.42, 3 Y 3.36
Dy 0.7205 0.1102 0.4243  3 Y 3.39-3.74, 5 Dy 3.41-3.42, 1 Er 3.51
Dy 0.4237 0.4237 0.7290  4 Dy 3.14-3.42, 3 Y 3.36
Dy 0.7450 0.7205 0.4243  3 Y 3.39-3.74, 5 Dy 3.41-3.42, 1 Er 3.51
Dy 0.8898 0.2550 0.5757  3 Y 3.39-3.74, 5 Dy 3.41-3.42, 1 Er 3.51
Dy 0.2550 0.2795 0.5757  3 Y 3.39-3.74, 5 Dy 3.41-3.42, 1 Er 3.51
Dy 0.1102 0.7450 0.4243  3 Y 3.39-3.74, 5 Dy 3.41-3.42, 1 Er 3.51
Dy 0.2795 0.8898 0.5757  3 Y 3.39-3.74, 5 Dy 3.41-3.42, 1 Er 3.51
Y 0.5406 0.1072 0.1217  4 Dy 3.36-3.74, 1 Er 3.43, 4 Y 3.50-3.72
Y 0.1072 0.2305 0.1217  4 Dy 3.36-3.74, 1 Er 3.43, 4 Y 3.50-3.72
Y 0.2305 0.5406 0.1217  4 Dy 3.36-3.74, 1 Er 3.43, 4 Y 3.50-3.72
Y 0.7695 0.4594 0.8783  4 Dy 3.36-3.74, 1 Er 3.43, 4 Y 3.50-3.72
Y 0.4594 0.8928 0.8783  4 Dy 3.36-3.74, 1 Er 3.43, 4 Y 3.50-3.72
Y 0.8928 0.7695 0.8783  4 Dy 3.36-3.74, 1 Er 3.43, 4 Y 3.50-3.72
Er 0.0000 0.0000 0.0000  6 Y 3.43, 6 Dy 3.51

2.
Sc4Pb5O: relaxed, PBE.

Summary:
- M_tot (μB per cell) = 0.00
- DOS(E_F) (states/eV per cell) = 4.40
- DFT total energy (eV per atom) = -5.602
- E_form (uncorrected) (eV per formula unit) = -7.19
- space group = C2/m

abc: 3.4845 7.7394 9.1010
angles: 89.12 101.04 90.00
Closest atoms and distances in Å follow each position.
Fractional coordinates of all 10 atoms:
Sc 0.9633 0.1727 0.9265  2 O 2.29
Sc 0.0367 0.8273 0.0735  2 O 2.29
Sc 0.6119 0.1254 0.2239  1 O 2.24
Sc 0.3881 0.8746 0.7761  1 O 2.24
Pb 0.7937 0.1571 0.5874  4 Sc 3.03-3.26, 3 Pb 3.20-3.39
Pb 0.5000 0.5000 0.0000  6 Sc 3.15-3.50, 6 Pb 3.34-3.48
Pb 0.1579 0.4462 0.3158  2 Sc 3.15, 5 Pb 3.20-3.48
Pb 0.8421 0.5538 0.6842  2 Sc 3.15, 5 Pb 3.20-3.48
Pb 0.2063 0.8429 0.4126  4 Sc 3.03-3.26, 3 Pb 3.20-3.39
O 0.5000 0.0000 0.0000  6 Sc 2.24-2.29

3.
Sm3Zn7Pt4: relaxed, PBE.

Summary:
- M_tot (μB per cell) = 0.00
- DOS(E_F) (states/eV per cell) = 7.24
- DFT total energy (eV per atom) = -4.099
- ΔH_f (0 K) (eV per formula unit) = -10.1
- space group = C2/m

abc: 4.3782 8.0745 8.4035
angles: 68.89 74.90 74.27
Closest atoms and distances in Å follow each position.
Fractional coordinates of all 14 atoms:
Sm 0.7020 0.8053 0.7908  4 Pt 3.03-3.09, 8 Zn 3.08-3.26
Sm 0.0000 0.5000 0.5000  6 Pt 3.00-3.26, 2 Zn 3.25
Sm 0.2980 0.1947 0.2092  4 Pt 3.03-3.09, 8 Zn 3.08-3.26
Pt 0.3392 0.5374 0.7842  5 Zn 2.57-2.71
Pt 0.1179 0.0969 0.6672  6 Zn 2.57-2.73
Pt 0.6608 0.4626 0.2158  5 Zn 2.57-2.71
Pt 0.8821 0.9031 0.3328  6 Zn 2.57-2.73
Zn 0.3272 0.8276 0.5179  4 Pt 2.59-2.73, 1 Zn 2.70
Zn 0.5030 0.7999 0.1941  3 Pt 2.57-2.70, 5 Zn 2.70-2.86
Zn 0.8559 0.3663 0.9220  3 Pt 2.62-2.71, 3 Zn 2.72-2.85
Zn 0.0000 0.0000 0.0000  2 Pt 2.57, 6 Zn 2.72-2.86
Zn 0.6728 0.1724 0.4821  4 Pt 2.59-2.73, 1 Zn 2.70
Zn 0.4970 0.2001 0.8059  3 Pt 2.57-2.70, 5 Zn 2.70-2.86
Zn 0.1441 0.6337 0.0780  3 Pt 2.62-2.71, 3 Zn 2.72-2.85

4.
Cd2InHg: relaxed, PBE.

Summary:
- M_tot (μB per cell) = 0.00
- distance to the lowest polymorph of the same formula (kJ per mole of atoms) = 1.57
- DOS(E_F) (states/eV per cell) = 2.57
- DFT total energy (eV per atom) = -1.182
- ΔH_f (0 K) (eV per formula unit) = 0.1
- space group = R3m

abc: 10.3957 10.3957 10.3957
angles: 18.42 18.42 18.42
Closest atoms and distances in Å follow each position.
Fractional coordinates of all 4 atoms:
Cd 0.2504 0.2504 0.2504  9 Cd 3.13-3.33, 3 Hg 3.15
Cd 0.9978 0.9978 0.9978  9 Cd 3.13-3.33, 3 In 3.24
In 0.7495 0.7495 0.7495  3 Cd 3.24, 3 Hg 3.27, 6 In 3.33
Hg 0.5023 0.5023 0.5023  3 Cd 3.15, 3 In 3.27, 6 Hg 3.33

5.
LiTbScFe: relaxed, PBE.

Summary:
- M_tot (μB per cell) = 0.00
- DOS(E_F) (states/eV per cell) = 2.82
- DFT total energy (eV per atom) = -5.272
- ΔH_f (0 K) (eV per formula unit) = 0.3
- space group = F-43m

abc: 4.7059 4.7059 4.7059
angles: 60.00 60.00 60.00
Closest atoms and distances in Å follow each position.
Fractional coordinates of all 4 atoms:
Fe 0.5000 0.5000 0.5000  4 Tb 2.88, 4 Sc 2.88
Tb 0.7500 0.7500 0.7500  4 Fe 2.88, 4 Li 2.88
Sc 0.2500 0.2500 0.2500  4 Fe 2.88, 4 Li 2.88
Li 0.0000 0.0000 0.0000  4 Tb 2.88, 4 Sc 2.88

6.
Mg2PdS: relaxed, PBE.

Summary:
- M_tot (μB per cell) = 0.00
- DOS(E_F) (states/eV per cell) = 1.03
- DFT total energy (eV per atom) = -3.661
- E_form (uncorrected) (eV per formula unit) = -2.13
- space group = I-42d

abc: 6.5228 6.5228 6.1987
angles: 58.25 58.25 90.00
Closest atoms and distances in Å follow each position.
Fractional coordinates of all 8 atoms:
Mg 0.6041 0.1250 0.2500  2 S 2.44, 2 Pd 2.62
Mg 0.3750 0.3959 0.7500  2 S 2.44, 2 Pd 2.62
Mg 0.8750 0.8541 0.7500  2 S 2.44, 2 Pd 2.62
Mg 0.1459 0.6250 0.2500  2 S 2.44, 2 Pd 2.62
Pd 0.7500 0.2500 0.5000  4 Mg 2.62
Pd 0.0000 0.0000 0.0000  4 Mg 2.62
S 0.5000 0.5000 0.0000  4 Mg 2.44
S 0.2500 0.7500 0.5000  4 Mg 2.44

7.
Pm2YTm6: relaxed, PBE.

Summary:
- M_tot (μB per cell) = 0.00
- distance to the lowest polymorph of the same formula (kJ per mole of atoms) = 0.00
- DOS(E_F) (states/eV per cell) = 22.68
- DFT total energy (eV per atom) = -4.646
- ΔH_f (0 K) (eV per formula unit) = 1.0
- space group = C2/c

abc: 6.5162 9.5150 9.5150
angles: 96.17 80.62 80.62
Closest atoms and distances in Å follow each position.
Fractional coordinates of all 18 atoms:
Tm 0.2701 0.9401 0.5377  7 Tm 3.34-3.73, 2 Pm 3.42-3.63, 1 Y 3.50
Tm 0.4962 0.3495 0.7245  5 Tm 3.21-3.56, 1 Y 3.28, 3 Pm 3.36-3.49
Tm 0.9962 0.7245 0.3495  5 Tm 3.21-3.56, 1 Y 3.28, 3 Pm 3.36-3.49
Tm 0.0038 0.2755 0.6505  5 Tm 3.21-3.56, 1 Y 3.28, 3 Pm 3.36-3.49
Tm 0.6852 0.2234 0.0419  3 Tm 3.27-3.40, 2 Y 3.37-3.66, 2 Pm 3.48-3.49
Tm 0.3148 0.7766 0.9581  3 Tm 3.27-3.40, 2 Y 3.37-3.66, 2 Pm 3.48-3.49
Tm 0.2299 0.4623 0.0599  7 Tm 3.34-3.73, 2 Pm 3.42-3.63, 1 Y 3.50
Tm 0.7701 0.5377 0.9401  7 Tm 3.34-3.73, 2 Pm 3.42-3.63, 1 Y 3.50
Tm 0.7299 0.0599 0.4623  7 Tm 3.34-3.73, 2 Pm 3.42-3.63, 1 Y 3.50
Tm 0.1852 0.0419 0.2234  3 Tm 3.27-3.40, 2 Y 3.37-3.66, 2 Pm 3.48-3.49
Tm 0.8148 0.9581 0.7766  3 Tm 3.27-3.40, 2 Y 3.37-3.66, 2 Pm 3.48-3.49
Tm 0.5038 0.6505 0.2755  5 Tm 3.21-3.56, 1 Y 3.28, 3 Pm 3.36-3.49
Pm 0.8733 0.3820 0.3312  3 Pm 3.34-3.61, 7 Tm 3.36-3.63
Pm 0.1267 0.6180 0.6688  3 Pm 3.34-3.61, 7 Tm 3.36-3.63
Pm 0.3733 0.3312 0.3820  3 Pm 3.34-3.61, 7 Tm 3.36-3.63
Pm 0.6267 0.6688 0.6180  3 Pm 3.34-3.61, 7 Tm 3.36-3.63
Y 0.7500 0.8824 0.1176  10 Tm 3.28-3.67
Y 0.2500 0.1176 0.8824  10 Tm 3.28-3.67

8.
InAgPH2: relaxed, PBE.

Summary:
- M_tot (μB per cell) = 0.18
- DOS(E_F) (states/eV per cell) = 1.29
- DFT total energy (eV per atom) = -3.086
- space group = P4/mmm

abc: 3.6514 6.4092 3.6514
angles: 90.00 90.00 90.00
Closest atoms and distances in Å follow each position.
Fractional coordinates of all 5 atoms:
Ag 0.0000 0.0000 0.0000  4 H 1.83
H 0.0000 0.0000 0.5000  2 Ag 1.83
H 0.5000 0.0000 0.0000  2 Ag 1.83
In 0.0000 0.5000 0.0000  4 P 2.58
P 0.5000 0.5000 0.5000  4 In 2.58